Record 1
# MnAsPd4

A relaxed structure of MnAsPd4 (PBE, Alexandria).

a b c (Å): 4.128 4.128 6.079
angles (deg): 90.00 90.00 90.00
Fractional coordinates of all 6 atoms:
Mn 0.000 0.000 0.000
As 0.500 0.500 0.500
Pd 0.000 0.500 0.259
Pd 0.000 0.500 0.741
Pd 0.500 0.000 0.259
Pd 0.500 0.000 0.741

Computed properties:
N(E_F) (states/eV/atom): 0.52
Total moment (μB/atom): 0.757
ΔE_f (eV/atom): -0.164
Space group: No. 123
Energy (eV/atom): -5.93

=====

Record 2
# Ti4CS3

A relaxed structure of Ti4CS3 (PBE, Alexandria).

a b c (Å): 6.962 6.281 6.446
angles (deg): 90.00 90.00 90.00
Fractional coordinates of all 16 atoms:
Ti 0.000 0.143 0.000
Ti 0.000 0.856 0.376
Ti 0.242 0.730 0.923
Ti 0.258 0.270 0.423
Ti 0.500 0.144 0.876
Ti 0.500 0.857 0.500
Ti 0.742 0.270 0.423
Ti 0.758 0.730 0.923
C 0.000 0.828 0.062
C 0.500 0.172 0.562
S 0.000 0.144 0.625
S 0.233 0.630 0.563
S 0.267 0.370 0.063
S 0.500 0.856 0.125
S 0.733 0.370 0.063
S 0.767 0.630 0.563

Computed properties:
N(E_F) (states/eV/atom): 0.91
Total moment (μB/atom): 0.000
Space group: No. 31
Energy (eV/atom): -7.47

=====

Record 3
# Fe2AsAu

A relaxed structure of Fe2AsAu (PBE, Alexandria).

a b c (Å): 4.431 4.431 4.912
angles (deg): 97.60 97.60 39.90
Fractional coordinates of all 4 atoms:
Fe 0.000 0.000 0.000
Fe 0.722 0.722 0.201
As 0.258 0.258 0.818
Au 0.470 0.470 0.471

Computed properties:
N(E_F) (states/eV/atom): 0.63
Total moment (μB/atom): 1.286
ΔE_f (eV/atom): 0.170
Space group: No. 8
Energy (eV/atom): -6.04